<1>
# Pt2BrCl PBE relaxed
data_Pt2BrCl
_chemical_formula_sum 'Pt2 Br1 Cl1'
_cell_length_a 6.5074
_cell_length_b 6.5074
_cell_length_c 6.5074
_cell_angle_alpha 154.29
_cell_angle_beta 103.73
_cell_angle_gamma 82.05
_symmetry_space_group_name_H-M 'P 1'
_symmetry_Int_Tables_number 1
_symmetry_space_group_name_Hall 'P 1'
loop_
_atom_site_label
_atom_site_type_symbol
_atom_site_fract_x
_atom_site_fract_y
_atom_site_fract_z
Br1 Br 0.5589 0.5589 0.0000
Cl1 Cl 0.1808 0.6808 0.5000
Pt1 Pt 0.9898 0.9898 0.0000
Pt2 Pt 0.7705 0.2705 0.5000
# Magnetic moment: 0.6 μB/f.u.



<2>
# Pt2BrCl PBE relaxed
data_Pt2BrCl
_chemical_formula_sum 'Pt2 Br1 Cl1'
_cell_length_a 4.6712
_cell_length_b 4.6712
_cell_length_c 4.6712
_cell_angle_alpha 60.00
_cell_angle_beta 60.00
_cell_angle_gamma 60.00
_symmetry_space_group_name_H-M 'P 1'
_symmetry_Int_Tables_number 1
_symmetry_space_group_name_Hall 'P 1'
loop_
_atom_site_label
_atom_site_type_symbol
_atom_site_fract_x
_atom_site_fract_y
_atom_site_fract_z
Cl1 Cl 0.0000 0.0000 0.0000
Br1 Br 0.5000 0.5000 0.5000
Pt1 Pt 0.2500 0.2500 0.2500
Pt2 Pt 0.7500 0.7500 0.7500
# Magnetic moment: 0.0 μB/f.u.



<3>
# Pt2BrCl PBE relaxed
data_Pt2BrCl
_chemical_formula_sum 'Pt2 Br1 Cl1'
_cell_length_a 7.0740
_cell_length_b 6.0087
_cell_length_c 3.0677
_cell_angle_alpha 59.16
_cell_angle_beta 115.93
_cell_angle_gamma 134.45
_symmetry_space_group_name_H-M 'P 1'
_symmetry_Int_Tables_number 1
_symmetry_space_group_name_Hall 'P 1'
loop_
_atom_site_label
_atom_site_type_symbol
_atom_site_fract_x
_atom_site_fract_y
_atom_site_fract_z
Pt1 Pt 0.5000 0.0000 0.5000
Br1 Br 0.0000 0.5000 0.5000
Pt2 Pt 0.0000 0.0000 0.0000
Cl1 Cl 0.5000 0.5000 0.0000
# Magnetic moment: 0.0 μB/f.u.



Looking at the structures above, which would you pick as the most stable? I would pick <1>.